# Sc2TaCr

A relaxed Sc2TaCr crystal (PBE-GGA, Alexandria via LeMat-Bulk).

The structure belongs to space group Fm-3m (No. 225); the cell edges are 6.825, 6.825 and 6.825 Å and the angles 90.00°, 90.00° and 90.00°. Symmetry generates all atoms from Sc at (0.250, 0.250, 0.250), Ta at (0.000, 0.000, 0.000) and Cr at (0.000, 0.000, 0.500).

The relative energy among the computed polymorphs is 0.2647 eV/atom.



# KHf2CoNi

A relaxed KHf2CoNi crystal (PBE-GGA, Alexandria via LeMat-Bulk).

The structure belongs to space group P4/mmm (No. 123); the cell edges are 4.760, 4.760 and 4.829 Å and the angles 90.00°, 90.00° and 90.00°. Symmetry generates all atoms from K at (0.000, 0.000, 0.000), Hf at (0.000, 0.500, 0.500), Co at (0.500, 0.500, 0.500) and Ni at (0.500, 0.500, 0.000).



# SmY9Th2

A relaxed SmY9Th2 crystal (PBE-GGA, Alexandria via LeMat-Bulk).

The structure belongs to space group P4/mmm (No. 123); the cell edges are 5.057, 5.057 and 15.198 Å and the angles 90.00°, 90.00° and 90.00°. Symmetry generates all atoms from Sm at (0.000, 0.000, 0.000), Y at (0.000, 0.500, 0.170), Y at (0.000, 0.500, 0.500), Y at (0.500, 0.500, 0.000), Y at (0.500, 0.500, 0.334) and Th at (0.000, 0.000, 0.334).



# NaCaSmMg

A relaxed NaCaSmMg crystal (PBE-GGA, Alexandria via LeMat-Bulk).

The structure belongs to space group F-43m (No. 216); the cell edges are 8.007, 8.007 and 8.007 Å and the angles 90.00°, 90.00° and 90.00°. Symmetry generates all atoms from Na at (0.000, 0.000, 0.000), Ca at (0.250, 0.250, 0.750), Sm at (0.250, 0.250, 0.250) and Mg at (0.000, 0.000, 0.500).



# Ce2PrRuPt

A relaxed Ce2PrRuPt crystal (PBE-GGA, Alexandria via LeMat-Bulk).

The structure belongs to space group P4mm (No. 99); the cell edges are 5.093, 5.093 and 5.976 Å and the angles 90.00°, 90.00° and 90.00°. Symmetry generates all atoms from Ce at (0.000, 0.500, 0.000), Pr at (0.000, 0.000, 0.566), Ru at (0.000, 0.000, 0.083) and Pt at (0.500, 0.500, 0.739).



# Tb4Pm4Y5

A relaxed Tb4Pm4Y5 crystal (PBE-GGA, Alexandria via LeMat-Bulk).

The structure belongs to space group I4/m (No. 87); the cell edges are 12.968, 12.968 and 5.070 Å and the angles 90.00°, 90.00° and 90.00°. Symmetry generates all atoms from Tb at (0.154, 0.231, 0.000), Pm at (0.078, 0.617, 0.000), Y at (0.000, 0.000, 0.000) and Y at (0.039, 0.809, 0.500).



no.,energy relative to the elements (eV per atom)
1,0.387
2,0.648
3,0.037
4,0.107
5,-0.264
6,0.016